No. 1
Material: IrPtW2
Method: DFT, PBE
State: optimized geometry

The space group is Fm-3m (No. 225) and the conventional cell measures 6.3392, 6.3392 and 6.3392 Å, with angles of 90.00, 90.00 and 90.00 degrees. The asymmetric unit holds Ir at (0.0000, 0.0000, 0.0000), Pt at (0.0000, 0.0000, 0.5000) and W at (0.2500, 0.2500, 0.2500).

Its formation energy is 0.362 eV per atom. As for the crystal system: cubic. The calculation puts the offset from the most stable computed form at 651 meV/atom.

---

No. 2
Material: IrPtW2
Method: DFT, PBE
State: optimized geometry

The space group is Pmm2 (No. 25) and the conventional cell measures 2.7747, 4.4912 and 4.9238 Å, with angles of 90.00, 90.00 and 90.00 degrees. The asymmetric unit holds Ir at (0.0000, 0.0000, 0.0000), Pt at (0.0000, 0.5000, 0.6600), W at (0.5000, 0.0000, 0.4970) and W at (0.5000, 0.5000, 0.1616).

Its formation energy is -0.289 eV per atom. As for the crystal system: orthorhombic. The calculation puts the offset from the most stable computed form at 0 meV/atom.

---

No. 3
Material: IrPt2W
Method: DFT, PBE
State: optimized geometry

The space group is I4/mmm (No. 139) and the conventional cell measures 3.8924, 3.8924 and 8.0947 Å, with angles of 90.00, 90.00 and 90.00 degrees. The asymmetric unit holds Ir at (0.0000, 0.0000, 0.0000), Pt at (0.0000, 0.5000, 0.2500) and W at (0.0000, 0.0000, 0.5000).

Its formation energy is -0.176 eV per atom. As for the crystal system: tetragonal. The calculation puts the offset from the most stable computed form at 69 meV/atom.

---

No. 4
Material: IrPtW3
Method: DFT, PBE
State: optimized geometry

The space group is Pm-3m (No. 221) and the conventional cell measures 4.7025, 4.7025 and 4.7025 Å, with angles of 90.00, 90.00 and 90.00 degrees. The asymmetric unit holds Ir at (0.0000, 0.0000, 0.0000), Pt at (0.5000, 0.5000, 0.5000) and W at (0.0000, 0.5000, 0.5000).

Its formation energy is 2.292 eV per atom. As for the crystal system: cubic. The calculation puts the offset from the most stable computed form at 407 meV/atom.

---

No. 5
Material: IrPt2W
Method: DFT, PBE
State: optimized geometry

The space group is Cmmm (No. 65) and the conventional cell measures 5.5105, 8.0226 and 2.7804 Å, with angles of 90.00, 90.00 and 90.00 degrees. The asymmetric unit holds Ir at (0.0000, 0.0000, 0.0000), Pt at (0.2500, 0.2500, 0.5000) and W at (0.0000, 0.5000, 0.0000).

Its formation energy is -0.066 eV per atom. As for the crystal system: orthorhombic. The calculation puts the offset from the most stable computed form at 179 meV/atom.

---

No. 6
Material: IrPt2W
Method: DFT, PBE
State: optimized geometry

The space group is F-43m (No. 216) and the conventional cell measures 6.3062, 6.3062 and 6.3062 Å, with angles of 90.00, 90.00 and 90.00 degrees. The asymmetric unit holds Ir at (0.0000, 0.0000, 0.0000), Pt at (0.0000, 0.0000, 0.5000), Pt at (0.2500, 0.2500, 0.2500) and W at (0.2500, 0.2500, 0.7500).

Its formation energy is 0.094 eV per atom. As for the crystal system: cubic. The calculation puts the offset from the most stable computed form at 338 meV/atom.

---

No. 7
Material: YIr3Pt
Method: DFT, PBE
State: optimized geometry

The space group is Pm-3m (No. 221) and the conventional cell measures 4.8755, 4.8755 and 4.8755 Å, with angles of 90.00, 90.00 and 90.00 degrees. The asymmetric unit holds Y at (0.0000, 0.0000, 0.0000), Ir at (0.0000, 0.0000, 0.5000) and Pt at (0.5000, 0.5000, 0.5000).

Its formation energy is 2.268 eV per atom. As for the crystal system: cubic. The calculation puts the offset from the most stable computed form at 1235 meV/atom.

---

No. 8
Material: Y2IrPt
Method: DFT, PBE
State: optimized geometry

The space group is I-4m2 (No. 119) and the conventional cell measures 4.0839, 4.0839 and 9.9949 Å, with angles of 90.00, 90.00 and 90.00 degrees. The asymmetric unit holds Y at (0.0000, 0.0000, 0.0000), Y at (0.0000, 0.5000, 0.2500), Ir at (0.0000, 0.0000, 0.5000) and Pt at (0.0000, 0.5000, 0.7500).

Its formation energy is -0.773 eV per atom. As for the crystal system: tetragonal.

---

No. 9
Material: Y8Ir3Pt2
Method: DFT, PBE
State: optimized geometry

The space group is P2/m (No. 10) and the conventional cell measures 8.4388, 4.8353 and 8.4539 Å, with angles of 90.00, 109.49 and 90.00 degrees. The asymmetric unit holds Y at (0.1208, 0.0000, 0.3796), Y at (0.1284, 0.5000, 0.8720), Y at (0.3729, 0.5000, 0.6288), Y at (0.3759, 0.0000, 0.1232), Ir at (0.2494, 0.0000, 0.7491), Ir at (0.5000, 0.5000, 0.0000) and Pt at (0.2479, 0.5000, 0.2517).

Its formation energy is -0.821 eV per atom. As for the crystal system: monoclinic.

---

No. 10
Material: Y3IrPt
Method: DFT, PBE
State: optimized geometry

The space group is Pm-3m (No. 221) and the conventional cell measures 5.2733, 5.2733 and 5.2733 Å, with angles of 90.00, 90.00 and 90.00 degrees. The asymmetric unit holds Y at (0.0000, 0.0000, 0.5000), Ir at (0.0000, 0.0000, 0.0000) and Pt at (0.5000, 0.5000, 0.5000).

Its formation energy is -0.280 eV per atom. As for the crystal system: cubic. The calculation puts the offset from the most stable computed form at 0 meV/atom.

---

No. 11
Material: Y6Ir5Pt
Method: DFT, PBE
State: optimized geometry

The space group is C2/m (No. 12) and the conventional cell measures 8.3803, 14.7204 and 4.9077 Å, with angles of 90.00, 125.75 and 90.00 degrees. The asymmetric unit holds Y at (0.2479, 0.0000, 0.2481), Y at (0.2490, 0.1677, 0.7491), Ir at (0.0000, 0.0000, 0.5000), Ir at (0.0000, 0.1660, 0.0000), Ir at (0.0000, 0.3330, 0.5000) and Pt at (0.0000, 0.5000, 0.0000).

Its formation energy is -0.855 eV per atom. As for the crystal system: monoclinic.

---

No. 12
Material: Y5Ir2Pt
Method: DFT, PBE
State: optimized geometry

The space group is I4/mcm (No. 140) and the conventional cell measures 7.4806, 7.4806 and 13.8154 Å, with angles of 90.00, 90.00 and 90.00 degrees. The asymmetric unit holds Y at (0.0000, 0.0000, 0.0000), Y at (0.1703, 0.3297, 0.1413), Ir at (0.1313, 0.3687, 0.5000) and Pt at (0.0000, 0.0000, 0.2500).

Its formation energy is -0.836 eV per atom. As for the crystal system: tetragonal.

---

M_tot, respectively: 0.000 0.000 0.000 0.000 0.000 0.000 2.298 0.000 0.000 0.000 0.000 0.000 μB per cell.
DOS at the Fermi energy, respectively: 24.0 2.1 9.3 7.9 8.9 17.4 10.7 4.4 10.8 3.1 10.5 26.9 states/eV/cell.